1.
# GGA-PBE CrOs2, relaxed
data_CrOs2
_chemical_formula_sum 'Cr1 Os2'
_cell_length_a 4.048
_cell_length_b 4.048
_cell_length_c 2.841
_cell_angle_alpha 90.00
_cell_angle_beta 90.00
_cell_angle_gamma 90.00
_space_group_name_H-M_alt 'P 4/m m m'
_space_group_IT_number 123
_space_group_name_Hall '-P 4 2'
loop_
_atom_site_label
_atom_site_fract_x
_atom_site_fract_y
_atom_site_fract_z
Cr1 0.000 0.000 0.000
Os1 0.000 0.500 0.500
# Formation energy in meV per atom: 881
# VASP energy in eV per atom: -9.813

2.
# GGA-PBE CrOs2, relaxed
data_CrOs2
_chemical_formula_sum 'Cr4 Os8'
_cell_length_a 2.720
_cell_length_b 13.903
_cell_length_c 4.311
_cell_angle_alpha 90.00
_cell_angle_beta 90.00
_cell_angle_gamma 90.00
_space_group_name_H-M_alt 'C m c m'
_space_group_IT_number 63
_space_group_name_Hall '-C 2c 2'
loop_
_atom_site_label
_atom_site_fract_x
_atom_site_fract_y
_atom_site_fract_z
Cr1 0.000 0.224 0.250
Os1 0.000 0.117 0.750
Os2 0.000 0.440 0.750
# Formation energy in meV per atom: 52
# VASP energy in eV per atom: -10.643

3.
# GGA-PBE CrOs, relaxed
data_CrOs
_chemical_formula_sum 'Cr16 Os16'
_cell_length_a 6.910
_cell_length_b 7.439
_cell_length_c 8.863
_cell_angle_alpha 90.00
_cell_angle_beta 90.00
_cell_angle_gamma 90.00
_space_group_name_H-M_alt 'F d d d'
_space_group_IT_number 70
loop_
_space_group_symop_operation_xyz
'x,y,z'
'-x,-y,-z'
'-x+1/4,-y+1/4,z'
'x+1/4,y+1/4,-z'
'x,-y+1/4,-z+1/4'
'-x,y+1/4,z+1/4'
'-x+1/4,y,-z+1/4'
'x+1/4,-y,z+1/4'
'x,y+1/2,z+1/2'
'-x,-y+1/2,-z+1/2'
'-x+1/4,-y+3/4,z+1/2'
'x+1/4,y+3/4,-z+1/2'
'x,-y+3/4,-z+3/4'
'-x,y+3/4,z+3/4'
'-x+1/4,y+1/2,-z+3/4'
'x+1/4,-y+1/2,z+3/4'
'x+1/2,y,z+1/2'
'-x+1/2,-y,-z+1/2'
'-x+3/4,-y+1/4,z+1/2'
'x+3/4,y+1/4,-z+1/2'
'x+1/2,-y+1/4,-z+3/4'
'-x+1/2,y+1/4,z+3/4'
'-x+3/4,y,-z+3/4'
'x+3/4,-y,z+3/4'
'x+1/2,y+1/2,z'
'-x+1/2,-y+1/2,-z'
'-x+3/4,-y+3/4,z'
'x+3/4,y+3/4,-z'
'x+1/2,-y+3/4,-z+1/4'
'-x+1/2,y+3/4,z+1/4'
'-x+3/4,y+1/2,-z+1/4'
'x+3/4,-y+1/2,z+1/4'
loop_
_atom_site_label
_atom_site_fract_x
_atom_site_fract_y
_atom_site_fract_z
Cr1 0.035 0.375 0.375
Os1 0.125 0.302 0.625
# Formation energy in meV per atom: 796
# VASP energy in eV per atom: -9.630

4.
# GGA-PBE CrOs, relaxed
data_CrOs
_chemical_formula_sum 'Cr8 Os8'
_cell_length_a 8.672
_cell_length_b 8.672
_cell_length_c 2.888
_cell_angle_alpha 90.00
_cell_angle_beta 90.00
_cell_angle_gamma 90.00
_space_group_name_H-M_alt 'I 4/m m m'
_space_group_IT_number 139
_space_group_name_Hall '-I 4 2'
loop_
_atom_site_label
_atom_site_fract_x
_atom_site_fract_y
_atom_site_fract_z
Cr1 0.000 0.341 0.000
Os1 0.159 0.159 0.500
# Formation energy in meV per atom: 250
# VASP energy in eV per atom: -10.176

Look up the VASP energy of the second one.
-10.643 eV per atom

Look up the formation energy of the third one.
796 meV per atom

What is the formula in the fourth record?
CrOs

What is the formation energy in the second record?
52 meV per atom